Model 1:
The following is a PBE calculation of crystalline Sb2Pb2S at its relaxed geometry, from Alexandria.

Output
* mass density: 7.79 g cm⁻³
* Fermi-level density of states: 0.519 states/eV per atom
* total magnetization: 0.0000 μB/atom

a b c (Å): 7.7867 7.7867 4.8520
angles (deg): 90.00 90.00 90.00
Last column: nearest neighbours and their distance in Å.
Sites, in units of the cell vectors:
Pb: 0.1466 0.6466 0.5000  6 Sb 3.13-3.48, 1 Pb 3.23
Pb: 0.6466 0.8534 0.5000  6 Sb 3.13-3.48, 1 Pb 3.23
Pb: 0.8534 0.3534 0.5000  6 Sb 3.13-3.48, 1 Pb 3.23
Pb: 0.3534 0.1466 0.5000  6 Sb 3.13-3.48, 1 Pb 3.23
Sb: 0.3267 0.8267 0.0000  2 S 2.88, 2 Pb 3.13
Sb: 0.8267 0.6733 0.0000  2 S 2.88, 2 Pb 3.13
Sb: 0.6733 0.1733 0.0000  2 S 2.88, 2 Pb 3.13
Sb: 0.1733 0.3267 0.0000  2 S 2.88, 2 Pb 3.13
S: 0.0000 0.0000 0.0000  4 Sb 2.88
S: 0.5000 0.5000 0.0000  4 Sb 2.88



Model 2:
The following is a PBE calculation of crystalline Sb2Pb2S at its relaxed geometry, from Alexandria.

Output
* mass density: 7.10 g cm⁻³
* Fermi-level density of states: 0.222 states/eV per atom
* total magnetization: 0.0000 μB/atom

a b c (Å): 7.9988 7.9988 5.0417
angles (deg): 90.00 90.00 90.00
Last column: nearest neighbours and their distance in Å.
Sites, in units of the cell vectors:
Pb: 0.2989 0.7989 0.0000  2 S 2.88, 2 Sb 3.22
Pb: 0.7989 0.7011 0.0000  2 S 2.88, 2 Sb 3.22
Pb: 0.7011 0.2011 0.0000  2 S 2.88, 2 Sb 3.22
Pb: 0.2011 0.2989 0.0000  2 S 2.88, 2 Sb 3.22
Sb: 0.1216 0.6216 0.5000  1 Sb 2.75
Sb: 0.6216 0.8784 0.5000  1 Sb 2.75
Sb: 0.8784 0.3784 0.5000  1 Sb 2.75
Sb: 0.3784 0.1216 0.5000  1 Sb 2.75
S: 0.0000 0.0000 0.0000  4 Pb 2.88
S: 0.5000 0.5000 0.0000  4 Pb 2.88



Order of stability, best first: model 2, model 1



Model 1:
The following is a PBE calculation of crystalline SbPbS3 at its relaxed geometry, from Alexandria.

Output
* mass density: 5.50 g cm⁻³
* Fermi-level density of states: 0.691 states/eV per atom
* total magnetization: 0.0000 μB/atom

a b c (Å): 5.0431 5.0431 5.0431
angles (deg): 90.00 90.00 90.00
Last column: nearest neighbours and their distance in Å.
Sites, in units of the cell vectors:
Pb: 0.5000 0.5000 0.5000  12 S 3.57
Sb: 0.0000 0.0000 0.0000  6 S 2.52
S: 0.0000 0.5000 0.0000  2 Sb 2.52
S: 0.0000 0.0000 0.5000  2 Sb 2.52
S: 0.5000 0.0000 0.0000  2 Sb 2.52



Model 2:
The following is a PBE calculation of crystalline SbPbS3 at its relaxed geometry, from Alexandria.

Output
* mass density: 5.81 g cm⁻³
* Fermi-level density of states: 0.313 states/eV per atom
* total magnetization: 0.0000 μB/atom

a b c (Å): 3.9573 8.4355 14.5617
angles (deg): 90.00 90.00 90.00
Last column: nearest neighbours and their distance in Å.
Sites, in units of the cell vectors:
Sb: 0.2500 0.6668 0.5588  6 S 2.53-2.78
Sb: 0.7500 0.3332 0.4412  6 S 2.53-2.78
Sb: 0.7500 0.8332 0.0588  6 S 2.53-2.78
Sb: 0.2500 0.1668 0.9412  6 S 2.53-2.78
Pb: 0.2500 0.9695 0.3261  4 S 2.85-3.13
Pb: 0.7500 0.0305 0.6739  4 S 2.85-3.13
Pb: 0.7500 0.5305 0.8261  4 S 2.85-3.13
Pb: 0.2500 0.4695 0.1739  4 S 2.85-3.13
S: 0.7500 0.2013 0.2850  1 Sb 2.53
S: 0.2500 0.6465 0.9989  2 Sb 2.68, 1 Pb 2.95
S: 0.2500 0.0252 0.1137  3 Sb 2.68-2.78
S: 0.2500 0.5252 0.3863  3 Sb 2.68-2.78
S: 0.2500 0.1465 0.5011  2 Sb 2.68, 1 Pb 2.95
S: 0.7500 0.4748 0.6137  3 Sb 2.68-2.78
S: 0.2500 0.2987 0.7850  1 Sb 2.53
S: 0.7500 0.9748 0.8863  3 Sb 2.68-2.78
S: 0.7500 0.3535 0.0011  2 Sb 2.68, 1 Pb 2.95
S: 0.7500 0.7013 0.2150  1 Sb 2.53
S: 0.7500 0.8535 0.4989  2 Sb 2.68, 1 Pb 2.95
S: 0.2500 0.7987 0.7150  1 Sb 2.53



Model 3:
The following is a PBE calculation of crystalline SbPbS3 at its relaxed geometry, from Alexandria.

Output
* mass density: 5.36 g cm⁻³
* Fermi-level density of states: 0.189 states/eV per atom
* total magnetization: 0.0000 μB/atom

a b c (Å): 3.8105 8.1053 9.4583
angles (deg): 115.50 90.00 90.00
Last column: nearest neighbours and their distance in Å.
Sites, in units of the cell vectors:
Sb: 0.5000 0.8570 0.2112  4 S 2.71-2.73
Sb: 0.5000 0.1430 0.7888  4 S 2.71-2.73
Pb: 0.0000 0.6529 0.8090  8 S 3.03-3.23
Pb: 0.0000 0.3471 0.1910  8 S 3.03-3.23
S: 0.5000 0.7730 0.6204  1 S 2.06
S: 0.5000 0.2270 0.3796  1 S 2.06
S: 0.5000 0.6540 0.3787  1 S 2.06
S: 0.5000 0.5000 0.0000  2 Sb 2.72
S: 0.5000 0.3460 0.6213  1 S 2.06
S: 0.5000 0.0000 0.0000  2 Sb 2.71



Order of stability, best first: model 2, model 3, model 1



Model 1:
The following is a PBE calculation of crystalline SbPb3S4 at its relaxed geometry, from Alexandria.

Output
* mass density: 6.84 g cm⁻³
* Fermi-level density of states: 0.181 states/eV per atom
* total magnetization: 0.0000 μB/atom

a b c (Å): 4.2098 4.2415 11.8496
angles (deg): 91.86 90.00 90.00
Last column: nearest neighbours and their distance in Å.
Sites, in units of the cell vectors:
Sb: 0.5000 0.7448 0.8664  3 S 2.67-2.89
Pb: 0.5000 0.7574 0.3679  5 S 2.87-2.99
Pb: 0.0000 0.2703 0.6288  6 S 2.92-3.03
Pb: 0.0000 0.2390 0.1203  6 S 2.92-3.03
S: 0.5000 0.7346 0.1252  5 Pb 2.87-3.00, 1 Sb 3.07
S: 0.0000 0.2125 0.8734  4 Sb 2.89-3.09, 2 Pb 2.92
S: 0.0000 0.2578 0.3761  6 Pb 2.99-3.03
S: 0.5000 0.7836 0.6420  1 Sb 2.67, 2 Pb 2.96



Model 2:
The following is a PBE calculation of crystalline SbPb3S4 at its relaxed geometry, from Alexandria.

Output
* mass density: 5.71 g cm⁻³
* Fermi-level density of states: 0.113 states/eV per atom
* total magnetization: 0.0000 μB/atom

a b c (Å): 6.1507 10.3109 7.9938
angles (deg): 90.00 90.00 90.00
Last column: nearest neighbours and their distance in Å.
Sites, in units of the cell vectors:
Sb: 0.0485 0.1755 0.0000  3 S 2.51-2.72
Sb: 0.5485 0.8245 0.5000  3 S 2.51-2.72
Pb: 0.5590 0.8558 0.0000  4 S 2.83-3.08
Pb: 0.0705 0.6606 0.2630  3 S 2.74-2.97
Pb: 0.5705 0.3394 0.2370  3 S 2.74-2.97
Pb: 0.0590 0.1442 0.5000  4 S 2.83-3.08
Pb: 0.5705 0.3394 0.7630  3 S 2.74-2.97
Pb: 0.0705 0.6606 0.7370  3 S 2.74-2.97
S: 0.1016 0.8305 0.0000  3 Pb 2.74-2.83
S: 0.4896 0.1513 0.0000  1 Sb 2.72, 2 Pb 2.76
S: 0.0877 0.3333 0.2370  1 Sb 2.51
S: 0.5877 0.6667 0.2630  1 Sb 2.51
S: 0.9896 0.8487 0.5000  1 Sb 2.72, 2 Pb 2.76
S: 0.6016 0.1695 0.5000  3 Pb 2.74-2.83
S: 0.5877 0.6667 0.7370  1 Sb 2.51
S: 0.0877 0.3333 0.7630  1 Sb 2.51



Order of stability, best first: model 1, model 2



Model 1:
The following is a PBE calculation of crystalline Sb2TePbS at its relaxed geometry, from Alexandria.

Output
* mass density: 5.19 g cm⁻³
* Fermi-level density of states: 1.264 states/eV per atom
* total magnetization: 0.1023 μB/atom

a b c (Å): 5.8389 5.8389 5.7303
angles (deg): 90.00 90.00 90.00
Last column: nearest neighbours and their distance in Å.
Sites, in units of the cell vectors:
Pb: 0.0000 0.0000 0.0000  2 Te 2.87, 4 Sb 2.92
Sb: 0.0000 0.5000 0.0000  2 Pb 2.92
Sb: 0.5000 0.0000 0.0000  2 Pb 2.92
S: 0.5000 0.5000 0.5000  8 Sb 4.09, 4 Te 4.13
Te: 0.0000 0.0000 0.5000  2 Pb 2.87



Model 2:
The following is a PBE calculation of crystalline Sb2TePbS at its relaxed geometry, from Alexandria.

Output
* mass density: 6.79 g cm⁻³
* Fermi-level density of states: 0.908 states/eV per atom
* total magnetization: 0.0000 μB/atom

a b c (Å): 5.2940 5.2940 5.3286
angles (deg): 90.00 90.00 90.00
Last column: nearest neighbours and their distance in Å.
Sites, in units of the cell vectors:
Pb: 0.5000 0.5000 0.5000  4 Te 3.74, 8 Sb 3.76
Sb: 0.0000 0.5000 0.0000  2 S 2.65
Sb: 0.5000 0.0000 0.0000  2 S 2.65
S: 0.0000 0.0000 0.0000  4 Sb 2.65, 2 Te 2.66
Te: 0.0000 0.0000 0.5000  2 S 2.66



Order of stability, best first: model 2, model 1



Model 1:
The following is a PBE calculation of crystalline ScPb2S4 at its relaxed geometry, from Alexandria.

Output
* mass density: 5.43 g cm⁻³
* Fermi-level density of states: 0.824 states/eV per atom
* total magnetization: 0.0000 μB/atom

a b c (Å): 4.9795 4.9795 8.0559
angles (deg): 72.00 72.00 90.00
Last column: nearest neighbours and their distance in Å.
Sites, in units of the cell vectors:
Pb: 0.3653 0.3653 0.2693  1 S 2.75
Pb: 0.6347 0.6347 0.7307  1 S 2.75
Sc: 0.0000 0.0000 0.0000  6 S 2.49-2.54
S: 0.1756 0.1756 0.6488  1 Sc 2.54, 1 Pb 2.75
S: 0.8244 0.8244 0.3512  1 Sc 2.54, 1 Pb 2.75
S: 0.0000 0.5000 0.0000  2 Sc 2.49
S: 0.5000 0.0000 0.0000  2 Sc 2.49



Model 2:
The following is a PBE calculation of crystalline ScPb2S4 at its relaxed geometry, from Alexandria.

Output
* mass density: 5.75 g cm⁻³
* Fermi-level density of states: 0.549 states/eV per atom
* total magnetization: 0.0000 μB/atom

a b c (Å): 3.7461 7.0564 13.3066
angles (deg): 90.00 90.00 105.39
Last column: nearest neighbours and their distance in Å.
Sites, in units of the cell vectors:
Sc: 0.6220 0.2439 0.7500  6 S 2.60-2.69
Sc: 0.3780 0.7561 0.2500  6 S 2.60-2.69
Pb: 0.1307 0.2613 0.4262  6 S 2.76-3.01
Pb: 0.8693 0.7387 0.9262  6 S 2.76-3.01
Pb: 0.1307 0.2613 0.0738  6 S 2.76-3.01
Pb: 0.8693 0.7387 0.5738  6 S 2.76-3.01
S: 0.7942 0.5884 0.1325  2 Sc 2.69, 3 Pb 2.93-3.01
S: 0.7942 0.5884 0.3675  2 Sc 2.69, 3 Pb 2.93-3.01
S: 0.2058 0.4116 0.8675  2 Sc 2.69, 3 Pb 2.93-3.01
S: 0.2058 0.4116 0.6325  2 Sc 2.69, 3 Pb 2.93-3.01
S: 0.9894 0.9787 0.7500  2 Sc 2.60, 2 Pb 2.86
S: 0.0106 0.0213 0.2500  2 Sc 2.60, 2 Pb 2.86
S: 0.5000 0.0000 0.0000  4 Pb 2.76
S: 0.5000 0.0000 0.5000  4 Pb 2.76



Order of stability, best first: model 2, model 1



Model 1:
The following is a PBE calculation of crystalline ScPbS3 at its relaxed geometry, from Alexandria.

Output
* mass density: 4.41 g cm⁻³
* Fermi-level density of states: 1.001 states/eV per atom
* total magnetization: 0.0533 μB/atom

a b c (Å): 5.0791 5.0791 5.0791
angles (deg): 90.00 90.00 90.00
Last column: nearest neighbours and their distance in Å.
Sites, in units of the cell vectors:
Pb: 0.0000 0.0000 0.0000  6 S 2.54
Sc: 0.5000 0.5000 0.5000  12 S 3.59
S: 0.0000 0.5000 0.0000  2 Pb 2.54
S: 0.0000 0.0000 0.5000  2 Pb 2.54
S: 0.5000 0.0000 0.0000  2 Pb 2.54



Model 2:
The following is a PBE calculation of crystalline ScPbS3 at its relaxed geometry, from Alexandria.

Output
* mass density: 4.79 g cm⁻³
* Fermi-level density of states: 0.487 states/eV per atom
* total magnetization: 0.0000 μB/atom

a b c (Å): 4.9428 4.9428 4.9428
angles (deg): 90.00 90.00 90.00
Last column: nearest neighbours and their distance in Å.
Sites, in units of the cell vectors:
Pb: 0.5000 0.5000 0.5000  12 S 3.50
Sc: 0.0000 0.0000 0.0000  6 S 2.47
S: 0.0000 0.5000 0.0000  2 Sc 2.47
S: 0.0000 0.0000 0.5000  2 Sc 2.47
S: 0.5000 0.0000 0.0000  2 Sc 2.47



Order of stability, best first: model 2, model 1